# SrFeSi2

An optimized crystal structure of SrFeSi2 (PBE, Alexandria via LeMat-Bulk).

## Properties
* DOS(E_F): 9.57 states/eV/cell
* electronic total energy: -41.39 eV/cell
* total moment: 2.1 μB/f.u.

a = 4.1329 Å, b = 6.1150 Å, c = 7.0830 Å
α = 90.00°, β = 90.00°, γ = 90.00°
Space group Immm (No. 71)
Asymmetric unit:
Sr 0.0000 0.0000 0.0000 (multiplicity 2)
Fe 0.0000 0.0000 0.5000 (multiplicity 2)
Si 0.0000 0.5000 0.1637 (multiplicity 4)